Record 1
CeHfPa | GGA-PBE | optimized geometry

Unit cell a=5.297 b=5.297 c=3.053 alpha=90.00 beta=90.00 gamma=120.00
Fractional positions:
Ce1 0.000 0.000 0.000
Hf1 0.333 0.667 0.996
Pa1 0.667 0.333 0.498

**Space group**: P3m1, No. 156
**E_tot**: -8.237 eV per atom

Record 2
YAsPb2 | GGA-PBE | optimized geometry

Unit cell a=4.444 b=4.444 c=5.411 alpha=90.00 beta=90.00 gamma=90.00
Fractional positions:
Y1 0.000 0.000 0.000
As1 0.500 0.500 0.000
Pb1 0.000 0.500 0.500
Pb2 0.500 0.000 0.500

**Space group**: P4/mmm, No. 123
**E_tot**: -4.978 eV per atom

Record 3
K2NdU2Se6 | GGA-PBE | optimized geometry

Unit cell a=7.333 b=7.333 c=8.210 alpha=98.34 beta=98.34 gamma=120.27
Fractional positions:
K1 0.165 0.835 0.000
K2 0.835 0.165 0.000
Nd1 0.000 0.000 0.500
U1 0.334 0.666 0.500
U2 0.666 0.334 0.500
Se1 0.064 0.409 0.702
Se2 0.276 0.276 0.296
Se3 0.409 0.064 0.702
Se4 0.591 0.936 0.298
Se5 0.724 0.724 0.704
Se6 0.936 0.591 0.298

**Uncorrected formation energy**: -1.42 eV per atom
**Space group**: C2/m, No. 12

Record 4
Sr2ScTl | GGA-PBE | optimized geometry

Unit cell a=5.823 b=5.823 c=5.823 alpha=60.00 beta=60.00 gamma=60.00
Fractional positions:
Sr1 0.250 0.250 0.250
Sr2 0.750 0.750 0.750
Sc1 0.000 0.000 0.000
Tl1 0.500 0.500 0.500

**Space group**: Fm-3m, No. 225
**E_tot**: -2.942 eV per atom